[1]
Here is a geometry-optimized Sm5Sc2Sn5 structure from Alexandria via LeMat-Bulk. Energies are from GGA-PBE.

Lattice parameters (Å, degrees): 6.6868 6.6868 13.1618 114.88 114.88 41.36
With the nearest neighbours (Å) after each atom.
Fractional coordinates of all 12 atoms:
1 Sm 0.0000 0.0000 0.0000  6 Sn 3.30-3.37
2 Sm 0.1612 0.1612 0.5179  3 Sn 3.04-3.22
3 Sm 0.1887 0.1887 0.7927  5 Sn 3.17-3.27, 1 Sm 3.48, 2 Sc 3.52
4 Sm 0.8113 0.8113 0.2073  5 Sn 3.17-3.27, 1 Sm 3.48, 2 Sc 3.52
5 Sm 0.8388 0.8388 0.4821  3 Sn 3.04-3.22
6 Sc 0.4563 0.4563 0.7112  4 Sn 2.89-3.06
7 Sc 0.5437 0.5437 0.2888  4 Sn 2.89-3.06
8 Sn 0.1797 0.1797 0.2820  2 Sc 2.94, 3 Sm 3.22-3.27
9 Sn 0.3527 0.3527 0.0591  1 Sc 2.89, 1 Sm 3.17
10 Sn 0.5000 0.5000 0.5000  4 Sm 3.04, 2 Sc 3.06
11 Sn 0.6473 0.6473 0.9409  1 Sc 2.89, 1 Sm 3.17
12 Sn 0.8203 0.8203 0.7180  2 Sc 2.94, 3 Sm 3.22-3.27

Output
VASP energy = -5.23 eV per atom
Energy relative to the elements = -0.537 eV/atom

***

[2]
Here is a geometry-optimized SmScSn2 structure from Alexandria via LeMat-Bulk. Energies are from GGA-PBE.

Lattice parameters (Å, degrees): 3.8937 3.8937 6.7907 90.00 90.00 90.00
With the nearest neighbours (Å) after each atom.
Fractional coordinates of all 4 atoms:
1 Sm 0.0000 0.0000 0.0000  8 Sn 3.34, 2 Sc 3.40
2 Sc 0.0000 0.0000 0.5000  8 Sn 3.14, 2 Sm 3.40
3 Sn 0.5000 0.5000 0.2787  1 Sn 3.01, 4 Sc 3.14, 4 Sm 3.34
4 Sn 0.5000 0.5000 0.7213  1 Sn 3.01, 4 Sc 3.14, 4 Sm 3.34

Output
VASP energy = -5.33 eV per atom
Energy relative to the elements = -0.566 eV/atom

***

[3]
Here is a geometry-optimized Sm6ScSn10 structure from Alexandria via LeMat-Bulk. Energies are from GGA-PBE.

Lattice parameters (Å, degrees): 9.2824 9.2824 6.3315 90.00 90.00 120.00
With the nearest neighbours (Å) after each atom.
Fractional coordinates of all 17 atoms:
1 Sm 0.0000 0.3913 0.2625  8 Sn 3.20-3.43
2 Sm 0.0000 0.6087 0.7375  8 Sn 3.20-3.43
3 Sm 0.3913 0.0000 0.2625  8 Sn 3.20-3.43
4 Sm 0.3913 0.3913 0.7375  8 Sn 3.20-3.43
5 Sm 0.6087 0.0000 0.7375  8 Sn 3.20-3.43
6 Sm 0.6087 0.6087 0.2625  8 Sn 3.20-3.43
7 Sc 0.0000 0.0000 0.5000  6 Sn 2.96
8 Sn 0.0000 0.2419 0.8055  1 Sc 2.96, 3 Sm 3.20-3.21
9 Sn 0.0000 0.7581 0.1945  1 Sc 2.96, 3 Sm 3.20-3.21
10 Sn 0.2419 0.0000 0.8055  1 Sc 2.96, 3 Sm 3.20-3.21
11 Sn 0.2419 0.2419 0.1945  1 Sc 2.96, 3 Sm 3.20-3.21
12 Sn 0.3333 0.6667 0.0000  2 Sn 3.17, 6 Sm 3.31
13 Sn 0.3333 0.6667 0.5000  2 Sn 3.17, 6 Sm 3.23
14 Sn 0.6667 0.3333 0.0000  2 Sn 3.17, 6 Sm 3.31
15 Sn 0.6667 0.3333 0.5000  2 Sn 3.17, 6 Sm 3.23
16 Sn 0.7581 0.0000 0.1945  1 Sc 2.96, 3 Sm 3.20-3.21
17 Sn 0.7581 0.7581 0.8055  1 Sc 2.96, 3 Sm 3.20-3.21

Output
VASP energy = -4.95 eV per atom
Energy relative to the elements = -0.560 eV/atom

***

[4]
Here is a geometry-optimized SmScSn structure from Alexandria via LeMat-Bulk. Energies are from GGA-PBE.

Lattice parameters (Å, degrees): 4.4677 4.4677 8.2917 90.00 90.00 90.00
With the nearest neighbours (Å) after each atom.
Fractional coordinates of all 6 atoms:
1 Sm 0.2500 0.2500 0.1527  5 Sn 3.25-3.30
2 Sm 0.7500 0.7500 0.8473  5 Sn 3.25-3.30
3 Sc 0.2500 0.7500 0.5000  4 Sn 3.07, 4 Sc 3.16
4 Sc 0.7500 0.2500 0.5000  4 Sn 3.07, 4 Sc 3.16
5 Sn 0.2500 0.2500 0.7548  4 Sc 3.07, 5 Sm 3.25-3.30
6 Sn 0.7500 0.7500 0.2452  4 Sc 3.07, 5 Sm 3.25-3.30

Output
Relative energy among the computed polymorphs = 0.0 meV/atom
VASP energy = -5.65 eV per atom
Energy relative to the elements = -0.630 eV/atom

***

[5]
Here is a geometry-optimized Sm2Sc3Sn2 structure from Alexandria via LeMat-Bulk. Energies are from GGA-PBE.

Lattice parameters (Å, degrees): 6.2652 6.2652 8.2184 111.18 111.18 40.35
With the nearest neighbours (Å) after each atom.
Fractional coordinates of all 7 atoms:
1 Sm 0.1386 0.1386 0.2928  4 Sn 3.23-3.49, 6 Sc 3.52-3.61
2 Sm 0.8614 0.8614 0.7072  4 Sn 3.23-3.49, 6 Sc 3.52-3.61
3 Sc 0.3816 0.3816 0.0592  3 Sn 3.00-3.01, 2 Sc 3.29-3.34
4 Sc 0.5000 0.5000 0.5000  4 Sn 2.97
5 Sc 0.6184 0.6184 0.9408  3 Sn 3.00-3.01, 2 Sc 3.29-3.34
6 Sn 0.1605 0.1605 0.7169  5 Sc 2.97-3.01, 2 Sm 3.23
7 Sn 0.8395 0.8395 0.2831  5 Sc 2.97-3.01, 2 Sm 3.23

Output
VASP energy = -5.67 eV per atom
Energy relative to the elements = -0.469 eV/atom

***

[6]
Here is a geometry-optimized Sm2ScSn structure from Alexandria via LeMat-Bulk. Energies are from GGA-PBE.

Lattice parameters (Å, degrees): 5.3942 5.3942 5.3942 60.00 60.00 60.00
With the nearest neighbours (Å) after each atom.
Fractional coordinates of all 4 atoms:
1 Sm 0.2500 0.2500 0.2500  4 Sn 3.30, 4 Sc 3.30
2 Sm 0.7500 0.7500 0.7500  4 Sn 3.30, 4 Sc 3.30
3 Sc 0.0000 0.0000 0.0000  8 Sm 3.30
4 Sn 0.5000 0.5000 0.5000  8 Sm 3.30

Output
Relative energy among the computed polymorphs = 154.7 meV/atom
VASP energy = -5.21 eV per atom
Energy relative to the elements = -0.262 eV/atom